Entry 1:
The following is a PBE calculation of crystalline CrBiS2 at its relaxed geometry, from Alexandria. Values from VASP.

Summary:
* total energy: -22.33 eV per formula unit
* total moment: 3.64 μB/f.u.
* uncorrected formation energy: -143 meV/atom

The structure in Quantum ESPRESSO input format:
```
&SYSTEM
  ibrav = 0, nat = 8, ntyp = 3
/
ATOMIC_SPECIES
Cr 52.00 Cr.upf
Bi 208.98 Bi.upf
S 32.06 S.upf
ATOMIC_POSITIONS angstrom
Cr 2.688 1.344 1.513
Cr 0.000 1.344 4.539
Bi 2.688 -1.344 4.539
Bi 0.000 4.032 1.513
S 2.688 1.344 -0.919
S 0.000 1.344 2.107
S 2.688 1.344 3.945
S 0.000 1.344 6.971
CELL_PARAMETERS angstrom
-2.688 2.688 6.052
2.688 -2.688 6.052
2.688 2.688 -6.052
```



Entry 2:
The following is a PBE calculation of crystalline CrBiS2 at its relaxed geometry, from Alexandria. Values from VASP.

Summary:
* total energy: -22.69 eV per formula unit
* total moment: 2.11 μB/f.u.
* uncorrected formation energy: -233 meV/atom

The structure in Quantum ESPRESSO input format:
```
&SYSTEM
  ibrav = 0, nat = 8, ntyp = 3
/
ATOMIC_SPECIES
Cr 52.00 Cr.upf
Bi 208.98 Bi.upf
S 32.06 S.upf
ATOMIC_POSITIONS angstrom
Cr 2.167 3.744 2.328
Cr 4.234 -3.744 0.000
Bi 0.172 2.544 4.012
Bi 2.238 -2.544 1.684
S 1.623 1.728 1.444
S -0.443 -1.728 3.772
S 5.208 0.484 2.725
S 7.274 -0.484 0.397
CELL_PARAMETERS angstrom
4.234 -5.152 0.000
4.234 5.152 0.000
-4.133 0.000 4.655
```



Entry 3:
The following is a PBE calculation of crystalline CrBiS2 at its relaxed geometry, from Alexandria. Values from VASP.

Summary:
* total energy: -23.23 eV per formula unit
* total moment: 1.39 μB/f.u.
* uncorrected formation energy: -368 meV/atom

The structure in Quantum ESPRESSO input format:
```
&SYSTEM
  ibrav = 0, nat = 8, ntyp = 3
/
ATOMIC_SPECIES
Cr 52.00 Cr.upf
Bi 208.98 Bi.upf
S 32.06 S.upf
ATOMIC_POSITIONS angstrom
Cr -0.720 0.839 2.793
Cr 4.793 2.517 4.870
Bi 1.806 0.839 1.378
Bi 2.267 2.517 6.284
S -1.377 0.839 6.413
S 0.376 2.517 3.958
S 3.697 0.839 3.704
S 5.450 2.517 1.249
CELL_PARAMETERS angstrom
6.478 0.000 0.000
0.000 3.356 0.000
-2.405 0.000 7.662
```



Entry 4:
The following is a PBE calculation of crystalline CrBiS2 at its relaxed geometry, from Alexandria. Values from VASP.

Summary:
* total energy: -21.30 eV per formula unit
* total moment: 4.26 μB/f.u.
* uncorrected formation energy: 115 meV/atom

The structure in Quantum ESPRESSO input format:
```
&SYSTEM
  ibrav = 0, nat = 4, ntyp = 3
/
ATOMIC_SPECIES
Cr 52.00 Cr.upf
Bi 208.98 Bi.upf
S 32.06 S.upf
ATOMIC_POSITIONS angstrom
Cr 0.000 0.000 0.000
Bi 2.399 2.399 0.000
S 0.000 2.399 1.715
S 2.399 0.000 1.715
CELL_PARAMETERS angstrom
4.799 0.000 0.000
0.000 4.799 0.000
0.000 0.000 3.430
```



Entry 5:
The following is a PBE calculation of crystalline CrBiS2 at its relaxed geometry, from Alexandria. Values from VASP.

Summary:
* total energy: -22.97 eV per formula unit
* total moment: 0.00 μB/f.u.
* uncorrected formation energy: -303 meV/atom

The structure in Quantum ESPRESSO input format:
```
&SYSTEM
  ibrav = 0, nat = 8, ntyp = 3
/
ATOMIC_SPECIES
Cr 52.00 Cr.upf
Bi 208.98 Bi.upf
S 32.06 S.upf
ATOMIC_POSITIONS angstrom
Cr 3.203 3.840 3.819
Cr 4.085 -3.840 1.273
Bi 3.203 0.880 3.819
Bi 4.085 -0.880 1.273
S 0.288 1.024 3.246
S 1.170 -1.024 0.699
S 6.118 1.024 4.393
S 7.000 -1.024 1.847
CELL_PARAMETERS angstrom
4.525 -4.140 0.000
4.525 4.140 0.000
-1.763 0.000 5.093
```



Entry 6:
The following is a PBE calculation of crystalline CrBiS2 at its relaxed geometry, from Alexandria. Values from VASP.

Summary:
* total energy: -22.61 eV per formula unit
* total moment: 3.24 μB/f.u.
* uncorrected formation energy: -214 meV/atom

The structure in Quantum ESPRESSO input format:
```
&SYSTEM
  ibrav = 0, nat = 4, ntyp = 3
/
ATOMIC_SPECIES
Cr 52.00 Cr.upf
Bi 208.98 Bi.upf
S 32.06 S.upf
ATOMIC_POSITIONS angstrom
Cr 0.000 0.000 0.000
Bi 0.000 0.000 12.415
S 0.000 0.000 9.299
S 0.000 0.000 22.648
CELL_PARAMETERS angstrom
1.811 1.046 8.295
-1.811 1.046 8.295
0.000 -2.092 8.295
```



Entry 7:
The following is a PBE calculation of crystalline Cr2Bi2S at its relaxed geometry, from Alexandria. Values from VASP.

Summary:
* distance to the lowest polymorph of the same formula: 0.238 eV/atom
* total energy: -27.32 eV per formula unit
* total moment: 1.71 μB/f.u.
* uncorrected formation energy: 762 meV/atom

The structure in Quantum ESPRESSO input format:
```
&SYSTEM
  ibrav = 0, nat = 10, ntyp = 3
/
ATOMIC_SPECIES
Cr 52.00 Cr.upf
Bi 208.98 Bi.upf
S 32.06 S.upf
ATOMIC_POSITIONS angstrom
Cr 0.650 3.375 0.000
Cr 3.375 7.400 0.000
Cr 4.675 0.650 0.000
Cr 7.400 4.675 0.000
Bi 1.612 5.636 1.748
Bi 2.413 1.612 1.748
Bi 5.636 6.438 1.748
Bi 6.438 2.413 1.748
S 0.000 0.000 1.748
S 4.025 4.025 1.748
CELL_PARAMETERS angstrom
8.050 0.000 0.000
0.000 8.050 0.000
0.000 0.000 3.496
```



Entry 8:
The following is a PBE calculation of crystalline CrBiS2 at its relaxed geometry, from Alexandria. Values from VASP.

Summary:
* total energy: -22.64 eV per formula unit
* total moment: 2.01 μB/f.u.
* uncorrected formation energy: -221 meV/atom

The structure in Quantum ESPRESSO input format:
```
&SYSTEM
  ibrav = 0, nat = 16, ntyp = 3
/
ATOMIC_SPECIES
Cr 52.00 Cr.upf
Bi 208.98 Bi.upf
S 32.06 S.upf
ATOMIC_POSITIONS angstrom
Cr 0.625 1.426 0.000
Cr 2.579 6.642 3.091
Cr 3.828 3.790 0.000
Cr 5.782 9.006 3.091
Bi 0.604 2.544 2.660
Bi 2.600 7.761 5.751
Bi 3.807 2.672 2.660
Bi 5.803 7.888 5.751
S 0.314 0.367 4.153
S 0.413 7.052 2.957
S 2.790 1.836 6.048
S 2.890 5.583 1.062
S 3.517 4.850 4.153
S 3.617 8.597 2.957
S 5.993 3.380 6.048
S 6.093 10.066 1.062
CELL_PARAMETERS angstrom
6.406 0.000 0.000
0.000 10.433 0.000
0.000 0.000 6.182
```



Entry 9:
The following is a PBE calculation of crystalline CrBiS2 at its relaxed geometry, from Alexandria. Values from VASP.

Summary:
* total energy: -23.25 eV per formula unit
* total moment: 1.66 μB/f.u.
* uncorrected formation energy: -373 meV/atom

The structure in Quantum ESPRESSO input format:
```
&SYSTEM
  ibrav = 0, nat = 8, ntyp = 3
/
ATOMIC_SPECIES
Cr 52.00 Cr.upf
Bi 208.98 Bi.upf
S 32.06 S.upf
ATOMIC_POSITIONS angstrom
Cr 1.687 0.000 3.081
Cr 7.720 0.000 5.391
Bi 4.061 0.000 1.020
Bi 5.347 0.000 7.452
S 0.178 0.000 4.697
S 2.426 0.000 6.826
S 6.981 0.000 1.646
S 9.229 0.000 3.775
CELL_PARAMETERS angstrom
6.083 -1.670 0.000
6.083 1.670 0.000
-2.758 0.000 8.472
```



Entry 10:
The following is a PBE calculation of crystalline CrBiS2 at its relaxed geometry, from Alexandria. Values from VASP.

Summary:
* total energy: -23.10 eV per formula unit
* total moment: 0.00 μB/f.u.
* uncorrected formation energy: -334 meV/atom

The structure in Quantum ESPRESSO input format:
```
&SYSTEM
  ibrav = 0, nat = 4, ntyp = 3
/
ATOMIC_SPECIES
Cr 52.00 Cr.upf
Bi 208.98 Bi.upf
S 32.06 S.upf
ATOMIC_POSITIONS angstrom
Cr 0.000 0.000 0.000
Bi 1.793 0.000 5.075
S 1.760 0.000 8.715
S 1.825 0.000 1.437
CELL_PARAMETERS angstrom
2.738 -1.581 0.000
2.738 1.581 0.000
-0.065 0.000 10.152
```



Entry 11:
The following is a PBE calculation of crystalline CrBiSb2S at its relaxed geometry, from Alexandria. Values from VASP.

Summary:
* total energy: -17.89 eV per formula unit
* total moment: 0.51 μB/f.u.
* uncorrected formation energy: 1598 meV/atom

The structure in Quantum ESPRESSO input format:
```
&SYSTEM
  ibrav = 0, nat = 5, ntyp = 4
/
ATOMIC_SPECIES
Cr 52.00 Cr.upf
Bi 208.98 Bi.upf
Sb 121.76 Sb.upf
S 32.06 S.upf
ATOMIC_POSITIONS angstrom
Cr 0.000 0.000 0.000
Bi 2.902 2.902 2.577
Sb 0.000 2.902 2.577
Sb 2.902 0.000 2.577
S 2.902 2.902 0.000
CELL_PARAMETERS angstrom
5.803 0.000 0.000
0.000 5.803 0.000
0.000 0.000 5.155
```



Entry 12:
The following is a PBE calculation of crystalline CrSn2BiS at its relaxed geometry, from Alexandria. Values from VASP.

Summary:
* total energy: -20.17 eV per formula unit
* total moment: 0.40 μB/f.u.
* uncorrected formation energy: 1094 meV/atom

The structure in Quantum ESPRESSO input format:
```
&SYSTEM
  ibrav = 0, nat = 5, ntyp = 4
/
ATOMIC_SPECIES
Cr 52.00 Cr.upf
Sn 118.71 Sn.upf
Bi 208.98 Bi.upf
S 32.06 S.upf
ATOMIC_POSITIONS angstrom
Cr 0.000 0.000 0.000
Sn 0.000 2.615 2.634
Sn 2.615 0.000 2.634
Bi 2.615 2.615 0.000
S 2.615 2.615 2.634
CELL_PARAMETERS angstrom
5.231 0.000 0.000
0.000 5.231 0.000
0.000 0.000 5.268
```